Entry 1:
The following is a PBE-GGA calculation of a geometry-optimized Ba2NiRh structure, from Alexandria via LeMat-Bulk.

```
Ba2NiRh
1.0
8.201 0.000 0.000
0.000 8.201 0.000
4.100 4.100 3.409
Ba Rh Ni
4 2 2
Cartesian
6.187 2.050 0.852 Ba
6.150 6.114 2.557 Ba
10.251 10.287 2.557 Ba
2.014 6.150 0.852 Ba
8.201 4.100 1.704 Rh
0.000 0.000 0.000 Rh
4.100 8.201 1.704 Ni
4.100 4.100 0.000 Ni
```

=====

Entry 2:
The following is a PBE-GGA calculation of a geometry-optimized BaNi2Rh structure, from Alexandria via LeMat-Bulk.

```
BaNi2Rh
1.0
4.983 -0.066 0.000
1.397 4.783 0.000
-3.190 -2.359 3.015
Ni Ba Rh
2 1 1
Cartesian
0.000 0.000 0.000 Ni
0.699 2.392 1.508 Ni
2.491 -0.033 1.508 Ba
3.190 2.359 0.000 Rh
```

=====

no.,formation energy from the elements (eV per atom)
1,0.3718
2,0.6055